Material: ZrZn
Method: DFT, PBE
State: optimized geometry

a b c (Å): 7.0436 4.6243 7.1991
angles (deg): 90.00 105.09 90.00
Closest atoms and distances in Å follow each position.
Element x y z (fractional)
Zr 0.1643 0.2500 0.3103  7 Zn 2.78-3.08, 3 Zr 2.97-3.01
Zr 0.1679 0.7500 0.0427  2 Zn 2.85-3.04, 5 Zr 2.97-3.03
Zr 0.2144 0.2500 0.7858  7 Zn 2.89-3.02, 3 Zr 3.03-3.24
Zr 0.7856 0.7500 0.2142  7 Zn 2.89-3.02, 3 Zr 3.03-3.24
Zr 0.8321 0.2500 0.9573  2 Zn 2.85-3.04, 5 Zr 2.97-3.03
Zr 0.8357 0.7500 0.6897  7 Zn 2.78-3.08, 3 Zr 2.97-3.01
Zn 0.1593 0.7500 0.5356  2 Zn 2.57-2.77, 3 Zr 2.78-2.83
Zn 0.4622 0.7500 0.4000  3 Zn 2.57-2.70, 1 Zr 2.85
Zn 0.4951 0.7500 0.8383  3 Zn 2.77-2.94, 5 Zr 2.87-3.04
Zn 0.5049 0.2500 0.1617  3 Zn 2.77-2.94, 5 Zr 2.87-3.04
Zn 0.5378 0.2500 0.6000  3 Zn 2.57-2.70, 1 Zr 2.85
Zn 0.8407 0.2500 0.4644  2 Zn 2.57-2.77, 3 Zr 2.78-2.83

- mass density (g/cm3) = 6.9
- ΔH_f (0 K) (kJ/mol of formula units) = -22
- crystal system = monoclinic